# 1
Material: GaCo2TcO
Method: DFT, PBE with a Hubbard U
State: relaxed

a = 4.5309 Å, b = 4.5309 Å, c = 4.8550 Å
α = 90.00°, β = 90.00°, γ = 90.00°
Closest atoms and distances in Å follow each position.
Positions (direct):
Ga 0.0000 0.0000 0.0000  2 Tc 2.43
Co 0.0000 0.5000 0.5000  2 Tc 2.27
Co 0.5000 0.0000 0.5000  2 Tc 2.27
Tc 0.0000 0.0000 0.5000  4 Co 2.27, 2 Ga 2.43
O 0.5000 0.5000 0.0000  4 Ga 3.20, 8 Co 3.32

## Properties
- calculated volume (A^3/atom) = 19.93
- space-group type = No. 123
- uncorrected energy (eV per atom) = -4.18
- mass density (Mg/m³) = 5.0
- crystal system = tetragonal


# 2
Material: ZnNi9O10
Method: DFT, PBE with a Hubbard U
State: relaxed

a = 5.1895 Å, b = 5.9883 Å, c = 6.6984 Å
α = 102.91°, β = 97.43°, γ = 106.79°
Closest atoms and distances in Å follow each position.
Positions (direct):
Zn 0.0000 0.0000 0.0000  6 O 2.14
Ni 0.0000 0.5000 0.0000  6 O 2.11-2.12
Ni 0.2003 0.4005 0.4007  6 O 2.11-2.12
Ni 0.2007 0.8999 0.4000  6 O 2.10-2.12
Ni 0.3993 0.3000 0.7994  6 O 2.10-2.12
Ni 0.3997 0.7995 0.7997  6 O 2.11-2.12
Ni 0.6003 0.2005 0.2003  6 O 2.11-2.12
Ni 0.6007 0.7000 0.2006  6 O 2.10-2.12
Ni 0.7993 0.1001 0.6000  6 O 2.10-2.12
Ni 0.7997 0.5995 0.5993  6 O 2.11-2.12
O 0.0992 0.4503 0.7004  6 Ni 2.11-2.12
O 0.1006 0.9489 0.6966  5 Ni 2.10-2.12, 1 Zn 2.14
O 0.3027 0.3535 0.1014  5 Ni 2.10-2.12, 1 Zn 2.14
O 0.3038 0.8486 0.1008  5 Ni 2.10-2.12, 1 Zn 2.14
O 0.4996 0.2500 0.4992  6 Ni 2.11-2.12
O 0.5004 0.7500 0.5008  6 Ni 2.11-2.12
O 0.6962 0.1514 0.8992  5 Ni 2.10-2.12, 1 Zn 2.14
O 0.6973 0.6465 0.8986  5 Ni 2.10-2.12, 1 Zn 2.14
O 0.8994 0.0511 0.3034  5 Ni 2.10-2.12, 1 Zn 2.14
O 0.9008 0.5497 0.2996  6 Ni 2.11-2.12

## Properties
- calculated volume (A^3/atom) = 9.50
- space-group type = No. 2
- uncorrected energy (eV per atom) = -4.78
- mass density (Mg/m³) = 6.6
- crystal system = triclinic


# 3
Material: ReMo3O
Method: DFT, PBE with a Hubbard U
State: relaxed

a = 4.1396 Å, b = 4.1396 Å, c = 4.1396 Å
α = 90.00°, β = 90.00°, γ = 90.00°
Closest atoms and distances in Å follow each position.
Positions (direct):
Re 0.0000 0.0000 0.0000  12 Mo 2.93
Mo 0.0000 0.5000 0.5000  2 O 2.07
Mo 0.5000 0.0000 0.5000  2 O 2.07
Mo 0.5000 0.5000 0.0000  2 O 2.07
O 0.5000 0.5000 0.5000  6 Mo 2.07

## Properties
- calculated volume (A^3/atom) = 14.19
- space-group type = No. 221
- uncorrected energy (eV per atom) = -7.05
- mass density (Mg/m³) = 11.5
- crystal system = cubic